A plane-wave DFT calculation with PBE was carried out for a relaxed TbPa2CrC4 crystal.

abc: 3.546 11.519 12.116
angles: 90.00 90.00 90.00
Space group Cmcm (No. 63)
Asymmetric unit:
Tb (0.000, 0.108, 0.250) (multiplicity 4)
Pa (0.000, 0.367, 0.048) (multiplicity 8)
Cr (0.000, 0.162, 0.750) (multiplicity 4)
C (0.000, 0.000, 0.000) (multiplicity 4)
C (0.000, 0.264, 0.630) (multiplicity 8)
C (0.000, 0.415, 0.250) (multiplicity 4)

Values from the calculation:
Calculated density ... 9.7 g/cm³
Electronic total energy ... -8.94 eV/atom
Energy of formation ... -0.172 eV per atom
Crystal system ... orthorhombic